# GeBiBr2, relaxed, DFT PBE-GGA
data_GeBiBr2
_chemical_formula_sum 'Ge1 Bi1 Br2'
_space_group_name_H-M_alt 'P 1'
_space_group_IT_number 1
_space_group_name_Hall 'P 1'
_cell_length_a 12.434
_cell_length_b 12.434
_cell_length_c 12.434
_cell_angle_alpha 17.17
_cell_angle_beta 17.17
_cell_angle_gamma 17.17
loop_
_atom_site_label
_atom_site_fract_x
_atom_site_fract_y
_atom_site_fract_z
Bi1 0.000 0.000 0.000
Br1 0.118 0.118 0.118
Ge1 0.500 0.500 0.500
Br2 0.882 0.882 0.882
# energy relative to the elements, uncorrected	-113	meV per atom


# Dy6HgPd5, relaxed, DFT PBE-GGA
data_Dy6HgPd5
_chemical_formula_sum 'Dy6 Hg1 Pd5'
_space_group_name_H-M_alt 'P 1'
_space_group_IT_number 1
_space_group_name_Hall 'P 1'
_cell_length_a 5.014
_cell_length_b 7.111
_cell_length_c 7.910
_cell_angle_alpha 90.00
_cell_angle_beta 108.67
_cell_angle_gamma 90.00
loop_
_atom_site_label
_atom_site_fract_x
_atom_site_fract_y
_atom_site_fract_z
Dy1 0.500 0.259 0.000
Dy2 0.500 0.741 0.000
Pd1 0.664 0.000 0.329
Dy3 0.830 0.747 0.659
Dy4 0.170 0.253 0.341
Pd2 0.336 0.000 0.671
Pd3 0.664 0.500 0.331
Dy5 0.830 0.254 0.659
Pd4 0.000 0.500 0.000
Dy6 0.170 0.746 0.341
Pd5 0.336 0.500 0.669
Hg1 0.000 0.000 0.000
# ΔE_f	-932	kJ/mol of formula units


# KScTe4, relaxed, DFT PBE-GGA
data_KScTe4
_chemical_formula_sum 'K1 Sc1 Te4'
_space_group_name_H-M_alt 'P 1'
_space_group_IT_number 1
_space_group_name_Hall 'P 1'
_cell_length_a 6.520
_cell_length_b 6.520
_cell_length_c 6.520
_cell_angle_alpha 60.00
_cell_angle_beta 60.00
_cell_angle_gamma 60.00
loop_
_atom_site_label
_atom_site_fract_x
_atom_site_fract_y
_atom_site_fract_z
Sc1 0.000 0.000 0.000
K1 0.750 0.750 0.750
Te1 0.374 0.877 0.374
Te2 0.374 0.374 0.374
Te3 0.877 0.374 0.374
Te4 0.374 0.374 0.877
# energy relative to the elements, uncorrected	61	meV per atom


# SrLaSmIn, relaxed, DFT PBE-GGA
data_SrLaSmIn
_chemical_formula_sum 'Sr1 La1 Sm1 In1'
_space_group_name_H-M_alt 'P 1'
_space_group_IT_number 1
_space_group_name_Hall 'P 1'
_cell_length_a 5.748
_cell_length_b 5.748
_cell_length_c 5.748
_cell_angle_alpha 60.00
_cell_angle_beta 60.00
_cell_angle_gamma 60.00
loop_
_atom_site_label
_atom_site_fract_x
_atom_site_fract_y
_atom_site_fract_z
La1 0.750 0.750 0.750
Sr1 0.500 0.500 0.500
Sm1 0.250 0.250 0.250
In1 0.000 0.000 0.000
# ΔE_f	-34	kJ/mol of formula units


# SrNbMo2, relaxed, DFT PBE-GGA
data_SrNbMo2
_chemical_formula_sum 'Sr2 Nb2 Mo4'
_space_group_name_H-M_alt 'P 1'
_space_group_IT_number 1
_space_group_name_Hall 'P 1'
_cell_length_a 4.943
_cell_length_b 4.943
_cell_length_c 9.705
_cell_angle_alpha 75.25
_cell_angle_beta 75.25
_cell_angle_gamma 90.00
loop_
_atom_site_label
_atom_site_fract_x
_atom_site_fract_y
_atom_site_fract_z
Mo1 0.375 0.150 0.750
Sr1 0.250 0.750 0.500
Mo2 0.900 0.625 0.250
Nb1 0.750 0.250 0.500
Mo3 0.850 0.125 0.250
Mo4 0.875 0.100 0.750
Sr2 0.500 0.500 0.000
Nb2 0.000 0.000 0.000
# ΔE_f	500	kJ/mol of formula units


# Cs2VCdCl6, relaxed, DFT PBE-GGA
data_Cs2VCdCl6
_chemical_formula_sum 'Cs2 V1 Cd1 Cl6'
_space_group_name_H-M_alt 'P 1'
_space_group_IT_number 1
_space_group_name_Hall 'P 1'
_cell_length_a 7.350
_cell_length_b 7.350
_cell_length_c 7.352
_cell_angle_alpha 60.01
_cell_angle_beta 60.01
_cell_angle_gamma 90.00
loop_
_atom_site_label
_atom_site_fract_x
_atom_site_fract_y
_atom_site_fract_z
Cs1 0.750 0.250 0.500
V1 0.000 0.000 0.000
Cs2 0.250 0.750 0.500
Cl1 0.243 0.757 0.000
Cl2 0.243 0.243 0.000
Cd1 0.500 0.500 0.000
Cl3 0.757 0.243 0.000
Cl4 0.757 0.757 0.000
Cl5 0.757 0.757 0.485
Cl6 0.243 0.243 0.515
# energy relative to the elements, uncorrected	-1461	meV per atom


# Tb2Sm12Y5, relaxed, DFT PBE-GGA
data_Tb2Sm12Y5
_chemical_formula_sum 'Tb2 Sm12 Y5'
_space_group_name_H-M_alt 'P 1'
_space_group_IT_number 1
_space_group_name_Hall 'P 1'
_cell_length_a 7.102
_cell_length_b 8.731
_cell_length_c 11.666
_cell_angle_alpha 108.93
_cell_angle_beta 107.72
_cell_angle_gamma 89.98
loop_
_atom_site_label
_atom_site_fract_x
_atom_site_fract_y
_atom_site_fract_z
Sm1 0.054 0.206 0.601
Sm2 0.454 0.794 0.399
Sm3 0.946 0.794 0.399
Y1 0.651 0.097 0.302
Sm4 0.854 0.931 0.709
Y2 0.349 0.903 0.698
Y3 0.751 0.509 0.502
Y4 0.249 0.491 0.498
Sm5 0.453 0.307 0.904
Sm6 0.849 0.386 0.212
Sm7 0.146 0.069 0.291
Sm8 0.151 0.614 0.788
Sm9 0.637 0.614 0.788
Y5 0.000 0.500 0.000
Tb1 0.256 0.000 0.000
Sm10 0.547 0.693 0.096
Sm11 0.546 0.206 0.601
Tb2 0.744 0.000 0.000
Sm12 0.363 0.386 0.212
# ΔE_f	250	kJ/mol of formula units


# BeTcOs, relaxed, DFT PBE-GGA
data_BeTcOs
_chemical_formula_sum 'Be4 Tc4 Os4'
_space_group_name_H-M_alt 'P 1'
_space_group_IT_number 1
_space_group_name_Hall 'P 1'
_cell_length_a 4.622
_cell_length_b 4.583
_cell_length_c 8.208
_cell_angle_alpha 81.84
_cell_angle_beta 73.65
_cell_angle_gamma 59.71
loop_
_atom_site_label
_atom_site_fract_x
_atom_site_fract_y
_atom_site_fract_z
Os1 0.828 0.345 0.000
Os2 0.172 0.655 0.000
Tc1 0.580 0.000 0.840
Be1 0.874 0.500 0.253
Be2 0.626 0.500 0.747
Be3 0.876 0.000 0.247
Tc2 0.420 0.000 0.160
Os3 0.922 0.155 0.500
Os4 0.578 0.845 0.500
Be4 0.124 0.000 0.753
Tc3 0.170 0.500 0.660
Tc4 0.330 0.500 0.340
# ΔE_f	-68	kJ/mol of formula units


# BaRe2As, relaxed, DFT PBE-GGA
data_BaRe2As
_chemical_formula_sum 'Ba2 Re4 As2'
_space_group_name_H-M_alt 'P 1'
_space_group_IT_number 1
_space_group_name_Hall 'P 1'
_cell_length_a 4.950
_cell_length_b 4.950
_cell_length_c 9.421
_cell_angle_alpha 74.77
_cell_angle_beta 74.77
_cell_angle_gamma 90.00
loop_
_atom_site_label
_atom_site_fract_x
_atom_site_fract_y
_atom_site_fract_z
Re1 0.375 0.125 0.250
As1 0.500 0.500 0.000
Re2 0.375 0.625 0.250
Ba1 0.000 0.000 0.000
Re3 0.875 0.625 0.750
Ba2 0.750 0.250 0.500
Re4 0.375 0.625 0.750
As2 0.250 0.750 0.500
# ΔE_f	247	kJ/mol of formula units


# SmMgHg3, relaxed, DFT PBE-GGA
data_SmMgHg3
_chemical_formula_sum 'Sm2 Mg2 Hg6'
_space_group_name_H-M_alt 'P 1'
_space_group_IT_number 1
_space_group_name_Hall 'P 1'
_cell_length_a 5.458
_cell_length_b 4.953
_cell_length_c 9.921
_cell_angle_alpha 104.45
_cell_angle_beta 90.37
_cell_angle_gamma 90.00
loop_
_atom_site_label
_atom_site_fract_x
_atom_site_fract_y
_atom_site_fract_z
Hg1 0.250 0.998 0.996
Hg2 0.502 0.301 0.602
Mg1 0.492 0.131 0.263
Hg3 0.998 0.203 0.407
Sm1 0.996 0.603 0.206
Sm2 0.004 0.397 0.794
Hg4 0.498 0.699 0.398
Mg2 0.508 0.869 0.737
Hg5 0.002 0.797 0.593
Hg6 0.750 0.002 0.004
# ΔE_f	-102	kJ/mol of formula units


# TeRh2N, relaxed, DFT PBE-GGA
data_TeRh2N
_chemical_formula_sum 'Te2 Rh4 N2'
_space_group_name_H-M_alt 'P 1'
_space_group_IT_number 1
_space_group_name_Hall 'P 1'
_cell_length_a 4.971
_cell_length_b 4.971
_cell_length_c 6.678
_cell_angle_alpha 68.15
_cell_angle_beta 68.15
_cell_angle_gamma 90.00
loop_
_atom_site_label
_atom_site_fract_x
_atom_site_fract_y
_atom_site_fract_z
Rh1 0.242 0.625 0.250
N1 0.500 0.500 0.000
Te1 0.000 0.000 0.000
Rh2 0.508 0.125 0.250
Te2 0.750 0.250 0.500
Rh3 0.875 0.758 0.750
Rh4 0.375 0.492 0.750
N2 0.250 0.750 0.500
# energy relative to the elements, uncorrected	137	meV per atom


# YThPa2, relaxed, DFT PBE-GGA
data_YThPa2
_chemical_formula_sum 'Y1 Th1 Pa2'
_space_group_name_H-M_alt 'P 1'
_space_group_IT_number 1
_space_group_name_Hall 'P 1'
_cell_length_a 5.027
_cell_length_b 4.718
_cell_length_c 4.718
_cell_angle_alpha 90.00
_cell_angle_beta 90.00
_cell_angle_gamma 90.00
loop_
_atom_site_label
_atom_site_fract_x
_atom_site_fract_y
_atom_site_fract_z
Pa1 0.000 0.000 0.500
Pa2 0.000 0.500 0.000
Y1 0.500 0.000 0.000
Th1 0.500 0.500 0.500
# ΔE_f	85	kJ/mol of formula units


# Sr2SmNpO6, relaxed, DFT PBE-GGA
data_Sr2SmNpO6
_chemical_formula_sum 'Sr4 Sm2 Np2 O12'
_space_group_name_H-M_alt 'P 1'
_space_group_IT_number 1
_space_group_name_Hall 'P 1'
_cell_length_a 6.016
_cell_length_b 6.174
_cell_length_c 8.606
_cell_angle_alpha 90.00
_cell_angle_beta 90.12
_cell_angle_gamma 90.00
loop_
_atom_site_label
_atom_site_fract_x
_atom_site_fract_y
_atom_site_fract_z
Sr1 0.012 0.954 0.251
Sr2 0.988 0.046 0.749
O1 0.809 0.786 0.940
O2 0.691 0.286 0.560
O3 0.395 0.957 0.739
O4 0.105 0.457 0.761
Np1 0.000 0.500 0.000
Sr3 0.488 0.454 0.249
O5 0.309 0.714 0.440
O6 0.895 0.543 0.239
Sm1 0.500 0.000 0.000
O7 0.605 0.043 0.261
O8 0.214 0.192 0.448
Np2 0.500 0.000 0.500
O9 0.714 0.308 0.948
Sr4 0.512 0.546 0.751
O10 0.191 0.214 0.060
Sm2 0.000 0.500 0.500
O11 0.786 0.808 0.552
O12 0.286 0.692 0.052
# energy relative to the elements, uncorrected	-3105	meV per atom


# YZr2Pd2, relaxed, DFT PBE-GGA
data_YZr2Pd2
_chemical_formula_sum 'Y1 Zr2 Pd2'
_space_group_name_H-M_alt 'P 1'
_space_group_IT_number 1
_space_group_name_Hall 'P 1'
_cell_length_a 4.637
_cell_length_b 4.637
_cell_length_c 6.290
_cell_angle_alpha 68.37
_cell_angle_beta 68.37
_cell_angle_gamma 90.00
loop_
_atom_site_label
_atom_site_fract_x
_atom_site_fract_y
_atom_site_fract_z
Zr1 0.750 0.250 0.500
Y1 0.000 0.000 0.000
Zr2 0.250 0.750 0.500
Pd1 0.621 0.621 0.758
Pd2 0.379 0.379 0.242
# ΔE_f	-212	kJ/mol of formula units


# SmHo4TmS8, relaxed, DFT PBE-GGA
data_SmHo4TmS8
_chemical_formula_sum 'Sm1 Ho4 Tm1 S8'
_space_group_name_H-M_alt 'P 1'
_space_group_IT_number 1
_space_group_name_Hall 'P 1'
_cell_length_a 8.039
_cell_length_b 8.039
_cell_length_c 8.025
_cell_angle_alpha 59.94
_cell_angle_beta 59.94
_cell_angle_gamma 60.00
loop_
_atom_site_label
_atom_site_fract_x
_atom_site_fract_y
_atom_site_fract_z
S1 0.782 0.238 0.742
S2 0.227 0.759 0.255
Sm1 0.375 0.375 0.874
Ho1 0.625 0.625 0.126
S3 0.759 0.759 0.255
S4 0.238 0.782 0.742
S5 0.240 0.240 0.280
Ho2 0.999 0.999 0.500
Tm1 0.000 0.000 0.001
S6 0.238 0.238 0.742
Ho3 0.999 0.501 0.500
S7 0.759 0.227 0.255
Ho4 0.501 0.999 0.500
S8 0.757 0.757 0.730
# energy relative to the elements, uncorrected	-1924	meV per atom


# KY2Ir, relaxed, DFT PBE-GGA
data_KY2Ir
_chemical_formula_sum 'K1 Y2 Ir1'
_space_group_name_H-M_alt 'P 1'
_space_group_IT_number 1
_space_group_name_Hall 'P 1'
_cell_length_a 4.173
_cell_length_b 4.173
_cell_length_c 10.282
_cell_angle_alpha 78.43
_cell_angle_beta 78.43
_cell_angle_gamma 60.00
loop_
_atom_site_label
_atom_site_fract_x
_atom_site_fract_y
_atom_site_fract_z
K1 0.250 0.250 0.250
Ir1 0.750 0.750 0.750
Y1 0.462 0.462 0.613
Y2 0.038 0.038 0.887
# ΔE_f	-133	kJ/mol of formula units


# ZrInNi, relaxed, DFT PBE-GGA
data_ZrInNi
_chemical_formula_sum 'Zr1 In1 Ni1'
_space_group_name_H-M_alt 'P 1'
_space_group_IT_number 1
_space_group_name_Hall 'P 1'
_cell_length_a 4.496
_cell_length_b 4.496
_cell_length_c 3.163
_cell_angle_alpha 90.00
_cell_angle_beta 90.00
_cell_angle_gamma 120.00
loop_
_atom_site_label
_atom_site_fract_x
_atom_site_fract_y
_atom_site_fract_z
Ni1 0.667 0.333 0.169
Zr1 0.333 0.667 0.665
In1 0.000 0.000 0.165
# ΔE_f	-69	kJ/mol of formula units


# LiPrMgSn, relaxed, DFT PBE-GGA
data_LiPrMgSn
_chemical_formula_sum 'Li1 Pr1 Mg1 Sn1'
_space_group_name_H-M_alt 'P 1'
_space_group_IT_number 1
_space_group_name_Hall 'P 1'
_cell_length_a 5.184
_cell_length_b 5.184
_cell_length_c 5.184
_cell_angle_alpha 60.00
_cell_angle_beta 60.00
_cell_angle_gamma 60.00
loop_
_atom_site_label
_atom_site_fract_x
_atom_site_fract_y
_atom_site_fract_z
Li1 0.500 0.500 0.500
Mg1 0.250 0.250 0.250
Pr1 0.750 0.750 0.750
Sn1 0.000 0.000 0.000
# ΔE_f	-128	kJ/mol of formula units


# MgGa2, relaxed, DFT PBE-GGA
data_MgGa2
_chemical_formula_sum 'Mg1 Ga2'
_space_group_name_H-M_alt 'P 1'
_space_group_IT_number 1
_space_group_name_Hall 'P 1'
_cell_length_a 3.281
_cell_length_b 3.889
_cell_length_c 5.167
_cell_angle_alpha 112.05
_cell_angle_beta 108.51
_cell_angle_gamma 90.00
loop_
_atom_site_label
_atom_site_fract_x
_atom_site_fract_y
_atom_site_fract_z
Ga1 0.326 0.826 0.652
Ga2 0.674 0.174 0.348
Mg1 0.000 0.500 0.000
# ΔE_f	-28	kJ/mol of formula units


# LaSm3Er2Tm6, relaxed, DFT PBE-GGA
data_LaSm3Er2Tm6
_chemical_formula_sum 'La1 Sm3 Er2 Tm6'
_space_group_name_H-M_alt 'P 1'
_space_group_IT_number 1
_space_group_name_Hall 'P 1'
_cell_length_a 6.150
_cell_length_b 6.150
_cell_length_c 11.711
_cell_angle_alpha 95.01
_cell_angle_beta 95.01
_cell_angle_gamma 119.98
loop_
_atom_site_label
_atom_site_fract_x
_atom_site_fract_y
_atom_site_fract_z
Tm1 0.749 0.749 0.250
Sm1 0.833 0.167 0.500
Sm2 0.167 0.833 0.500
Er1 0.667 0.333 0.000
La1 0.000 0.000 0.000
Tm2 0.582 0.916 0.750
Tm3 0.251 0.251 0.750
Er2 0.333 0.667 0.000
Tm4 0.418 0.084 0.250
Tm5 0.084 0.418 0.250
Tm6 0.916 0.582 0.750
Sm3 0.500 0.500 0.500
# ΔE_f	27	kJ/mol of formula units


Number 1: raw total energy -12.30 eV per formula unit. Number 2: raw total energy -63.54 eV per formula unit. Number 3: raw total energy -19.63 eV per formula unit. Number 4: raw total energy -14.42 eV per formula unit. Number 5: raw total energy -28.23 eV per formula unit. Number 6: raw total energy -37.43 eV per formula unit. Number 7: raw total energy -95.62 eV per formula unit. Number 8: raw total energy -26.03 eV per formula unit. Number 9: raw total energy -28.90 eV per formula unit. Number 10: raw total energy -8.28 eV per formula unit. Number 11: raw total energy -25.62 eV per formula unit. Number 12: raw total energy -31.99 eV per formula unit. Number 13: raw total energy -81.83 eV per formula unit. Number 14: raw total energy -36.15 eV per formula unit. Number 15: raw total energy -87.46 eV per formula unit. Number 16: raw total energy -24.27 eV per formula unit. Number 17: raw total energy -17.79 eV per formula unit. Number 18: raw total energy -13.61 eV per formula unit. Number 19: raw total energy -7.94 eV per formula unit. Number 20: raw total energy -54.76 eV per formula unit.